1.
The following is a PBE calculation of crystalline TbPmZr at its relaxed geometry, from the Alexandria database.

For the total energy, the calculation gives -5.8766 eV per atom. Its crystal system is tetragonal. Its energy above the most stable polymorph in this dataset is 0 meV per atom. Its formation energy is 100 meV per atom.

a b c (Å): 3.415 3.415 15.017
angles (deg): 90.00 90.00 90.00
Atoms (fractional coordinates):
Tb  0.000  0.000  0.000
Tb  0.500  0.500  0.500
Pm  0.000  0.000  0.311
Pm  0.500  0.500  0.811
Zr  0.000  0.000  0.652
Zr  0.500  0.500  0.152

---

2.
The following is a PBE calculation of crystalline Tb2PmZr at its relaxed geometry, from the Alexandria database.

For the total energy, the calculation gives -5.4053 eV per atom. Its crystal system is cubic. Its energy above the most stable polymorph in this dataset is 147 meV per atom. Its formation energy is 235 meV per atom.

a b c (Å): 7.829 7.829 7.829
angles (deg): 90.00 90.00 90.00
Atoms (fractional coordinates):
Tb  0.250  0.250  0.250
Tb  0.250  0.250  0.750
Tb  0.250  0.750  0.250
Tb  0.250  0.750  0.750
Tb  0.750  0.250  0.250
Tb  0.750  0.250  0.750
Tb  0.750  0.750  0.250
Tb  0.750  0.750  0.750
Pm  0.000  0.000  0.000
Pm  0.000  0.500  0.500
Pm  0.500  0.000  0.500
Pm  0.500  0.500  0.000
Zr  0.000  0.000  0.500
Zr  0.000  0.500  0.000
Zr  0.500  0.000  0.000
Zr  0.500  0.500  0.500